Li2VSiO5 | GGA+U | optimized geometry

It has space group P4/nmm (No. 129, origin choice 2), with a = 6.4271 Å, b = 6.4271 Å, c = 4.5373 Å, α = 90.00°, β = 90.00° and γ = 90.00°. The inequivalent atoms are Li at (0.0000, 0.0000, 0.0000), V at (0.2500, 0.2500, 0.4166), Si at (0.2500, 0.7500, 0.5000), O at (0.0445, 0.7500, 0.7168) and O at (0.2500, 0.2500, 0.7872).

As for the total magnetization: 0.111 μB/atom. The calculation puts the total energy at -6.98 eV/atom. Its density of states at the Fermi level is 0.00 states/eV/f.u.